DFT (PBE) results for a relaxed structure of K2HgS.

Unit cell a=7.8685 b=7.8685 c=7.8685 alpha=90.00 beta=90.00 gamma=90.00
Last column: nearest neighbours and their distance in Å.
Atoms (fractional coordinates):
K (0.2500, 0.2500, 0.2500)  4 Hg 3.41, 4 S 3.41
K (0.2500, 0.2500, 0.7500)  4 S 3.41, 4 Hg 3.41
K (0.2500, 0.7500, 0.2500)  4 S 3.41, 4 Hg 3.41
K (0.2500, 0.7500, 0.7500)  4 Hg 3.41, 4 S 3.41
K (0.7500, 0.2500, 0.2500)  4 S 3.41, 4 Hg 3.41
K (0.7500, 0.2500, 0.7500)  4 Hg 3.41, 4 S 3.41
K (0.7500, 0.7500, 0.2500)  4 S 3.41, 4 Hg 3.41
K (0.7500, 0.7500, 0.7500)  4 S 3.41, 4 Hg 3.41
Hg (0.0000, 0.0000, 0.0000)  8 K 3.41
Hg (0.0000, 0.5000, 0.5000)  8 K 3.41
Hg (0.5000, 0.0000, 0.5000)  8 K 3.41
Hg (0.5000, 0.5000, 0.0000)  8 K 3.41
S (0.0000, 0.0000, 0.5000)  8 K 3.41
S (0.0000, 0.5000, 0.0000)  8 K 3.41
S (0.5000, 0.0000, 0.0000)  8 K 3.41
S (0.5000, 0.5000, 0.5000)  8 K 3.41

Calculated values
energy relative to the elements, uncorrected	-711	meV per atom
SG	No. 225
total magnetization	0.0	μB per formula unit
N(E_F)	0.0	states/eV/f.u.


DFT (PBE) results for a relaxed structure of Cr3Pb2Se6.

Unit cell a=6.6518 b=6.6518 c=7.3461 alpha=98.80 beta=98.80 gamma=120.09
Last column: nearest neighbours and their distance in Å.
Atoms (fractional coordinates):
Cr (0.0000, 0.0000, 0.0000)  6 Se 2.58-2.61
Cr (0.3313, 0.6687, 0.0000)  6 Se 2.58-2.61
Cr (0.6687, 0.3313, 0.0000)  6 Se 2.58-2.61
Pb (0.1673, 0.8327, 0.5000)  6 Se 3.05-3.09
Pb (0.8327, 0.1673, 0.5000)  6 Se 3.05-3.09
Se (0.0641, 0.3998, 0.1961)  3 Cr 2.58-2.61
Se (0.2670, 0.2670, 0.8088)  3 Cr 2.58-2.61
Se (0.3998, 0.0641, 0.1961)  3 Cr 2.58-2.61
Se (0.6002, 0.9359, 0.8039)  3 Cr 2.58-2.61
Se (0.7330, 0.7330, 0.1912)  3 Cr 2.58-2.61
Se (0.9359, 0.6002, 0.8039)  3 Cr 2.58-2.61

Calculated values
energy relative to the elements, uncorrected	-465	meV per atom
SG	No. 12
total magnetization	10.0	μB per formula unit
N(E_F)	3.9	states/eV/f.u.


DFT (PBE) results for a relaxed structure of Ca3Ce2SmN6.

Unit cell a=6.1887 b=6.1887 c=6.1164 alpha=99.69 beta=99.69 gamma=120.02
Last column: nearest neighbours and their distance in Å.
Atoms (fractional coordinates):
Ca (0.0000, 0.0000, 0.0000)  6 N 2.54-2.63
Ca (0.3334, 0.6666, 0.0000)  6 N 2.55-2.63
Ca (0.6666, 0.3334, 0.0000)  6 N 2.55-2.63
Ce (0.1666, 0.8334, 0.5000)  6 N 2.41
Ce (0.8334, 0.1666, 0.5000)  6 N 2.41
Sm (0.5000, 0.5000, 0.5000)  6 N 2.49
N (0.0809, 0.4246, 0.2753)  2 Ce 2.41, 1 Sm 2.49, 3 Ca 2.55-2.63
N (0.2319, 0.2319, 0.7264)  2 Ce 2.41, 1 Sm 2.49, 3 Ca 2.54-2.62
N (0.4246, 0.0809, 0.2753)  2 Ce 2.41, 1 Sm 2.49, 3 Ca 2.55-2.63
N (0.5754, 0.9191, 0.7247)  2 Ce 2.41, 1 Sm 2.49, 3 Ca 2.55-2.63
N (0.7681, 0.7681, 0.2736)  2 Ce 2.41, 1 Sm 2.49, 3 Ca 2.54-2.62
N (0.9191, 0.5754, 0.7247)  2 Ce 2.41, 1 Sm 2.49, 3 Ca 2.55-2.63

Calculated values
energy relative to the elements, uncorrected	-1192	meV per atom
SG	No. 12
total magnetization	1.1	μB per formula unit
N(E_F)	15.1	states/eV/f.u.


DFT (PBE) results for a relaxed structure of LiDyMgGe.

Unit cell a=6.8857 b=6.8857 c=6.8857 alpha=90.00 beta=90.00 gamma=90.00
Last column: nearest neighbours and their distance in Å.
Atoms (fractional coordinates):
Li (0.0000, 0.0000, 0.0000)  4 Mg 2.98, 4 Dy 2.98
Li (0.0000, 0.5000, 0.5000)  4 Mg 2.98, 4 Dy 2.98
Li (0.5000, 0.0000, 0.5000)  4 Mg 2.98, 4 Dy 2.98
Li (0.5000, 0.5000, 0.0000)  4 Mg 2.98, 4 Dy 2.98
Dy (0.2500, 0.2500, 0.7500)  4 Ge 2.98, 4 Li 2.98
Dy (0.2500, 0.7500, 0.2500)  4 Ge 2.98, 4 Li 2.98
Dy (0.7500, 0.2500, 0.2500)  4 Ge 2.98, 4 Li 2.98
Dy (0.7500, 0.7500, 0.7500)  4 Li 2.98, 4 Ge 2.98
Mg (0.2500, 0.2500, 0.2500)  4 Ge 2.98, 4 Li 2.98
Mg (0.2500, 0.7500, 0.7500)  4 Ge 2.98, 4 Li 2.98
Mg (0.7500, 0.2500, 0.7500)  4 Ge 2.98, 4 Li 2.98
Mg (0.7500, 0.7500, 0.2500)  4 Ge 2.98, 4 Li 2.98
Ge (0.0000, 0.0000, 0.5000)  4 Dy 2.98, 4 Mg 2.98
Ge (0.0000, 0.5000, 0.0000)  4 Dy 2.98, 4 Mg 2.98
Ge (0.5000, 0.0000, 0.0000)  4 Dy 2.98, 4 Mg 2.98
Ge (0.5000, 0.5000, 0.5000)  4 Dy 2.98, 4 Mg 2.98

Calculated values
SG	No. 216
calculated formation energy	-0.2977	eV/atom
total magnetization	0.0	μB per formula unit
N(E_F)	1.7	states/eV/f.u.


DFT (PBE) results for a relaxed structure of AgRuSe2.

Unit cell a=2.8580 b=2.8580 c=34.0253 alpha=90.00 beta=90.00 gamma=120.00
Last column: nearest neighbours and their distance in Å.
Atoms (fractional coordinates):
Ag (0.0000, 0.0000, 0.0000)  6 Ag 2.86
Ag (0.3333, 0.6667, 0.6667)  6 Ag 2.86
Ag (0.6667, 0.3333, 0.3333)  6 Ag 2.86
Ru (0.0000, 0.0000, 0.5000)  2 Se 2.39
Ru (0.3333, 0.6667, 0.1667)  2 Se 2.39
Ru (0.6667, 0.3333, 0.8333)  2 Se 2.39
Se (0.0000, 0.0000, 0.4298)  1 Ru 2.39
Se (0.0000, 0.0000, 0.5702)  1 Ru 2.39
Se (0.3333, 0.6667, 0.0964)  1 Ru 2.39
Se (0.3333, 0.6667, 0.2369)  1 Ru 2.39
Se (0.6667, 0.3333, 0.7631)  1 Ru 2.39
Se (0.6667, 0.3333, 0.9036)  1 Ru 2.39

Calculated values
energy relative to the elements, uncorrected	366	meV per atom
SG	No. 166
total magnetization	0.0	μB per formula unit
N(E_F)	3.7	states/eV/f.u.


DFT (PBE) results for a relaxed structure of La5GaCu2.

Unit cell a=8.7556 b=8.7556 c=8.7556 alpha=123.55 beta=123.55 gamma=83.96
Last column: nearest neighbours and their distance in Å.
Atoms (fractional coordinates):
La (0.0000, 0.0000, 0.0000)  2 Ga 3.25, 4 Cu 3.29
La (0.0146, 0.5146, 0.8234)  3 Cu 3.05-3.17, 2 Ga 3.38, 1 La 3.38
La (0.1912, 0.0146, 0.5000)  3 Cu 3.05-3.17, 2 Ga 3.38, 1 La 3.38
La (0.3088, 0.8088, 0.8234)  3 Cu 3.05-3.17, 2 Ga 3.38, 1 La 3.38
La (0.4854, 0.3088, 0.5000)  3 Cu 3.05-3.17, 2 Ga 3.38, 1 La 3.38
La (0.5000, 0.5000, 0.0000)  2 Ga 3.25, 4 Cu 3.29
La (0.5146, 0.6912, 0.5000)  3 Cu 3.05-3.17, 2 Ga 3.38, 1 La 3.38
La (0.6912, 0.1912, 0.1766)  3 Cu 3.05-3.17, 2 Ga 3.38, 1 La 3.38
La (0.8088, 0.9854, 0.5000)  3 Cu 3.05-3.17, 2 Ga 3.38, 1 La 3.38
La (0.9854, 0.4854, 0.1766)  3 Cu 3.05-3.17, 2 Ga 3.38, 1 La 3.38
Ga (0.2500, 0.2500, 0.0000)  10 La 3.25-3.38
Ga (0.7500, 0.7500, 0.0000)  10 La 3.25-3.38
Cu (0.1223, 0.3777, 0.5000)  1 Cu 2.87, 6 La 3.05-3.17
Cu (0.3777, 0.8777, 0.2554)  1 Cu 2.87, 6 La 3.05-3.17
Cu (0.6223, 0.1223, 0.7446)  1 Cu 2.87, 6 La 3.05-3.17
Cu (0.8777, 0.6223, 0.5000)  1 Cu 2.87, 6 La 3.05-3.17

Calculated values
SG	No. 140
calculated formation energy	-0.2215	eV/atom
total magnetization	0.0	μB per formula unit
N(E_F)	10.4	states/eV/f.u.


DFT (PBE) results for a relaxed structure of RbCaRe2Bi.

Unit cell a=5.1898 b=5.1898 c=5.4335 alpha=90.00 beta=90.00 gamma=90.00
Last column: nearest neighbours and their distance in Å.
Atoms (fractional coordinates):
Rb (0.0000, 0.0000, 0.0000)  2 Ca 2.72
Ca (0.0000, 0.0000, 0.5000)  4 Re 2.59, 2 Rb 2.72
Re (0.0000, 0.5000, 0.5000)  2 Ca 2.59
Re (0.5000, 0.0000, 0.5000)  2 Ca 2.59
Bi (0.5000, 0.5000, 0.0000)  4 Rb 3.67, 8 Re 3.76

Calculated values
SG	No. 123
calculated formation energy	2.4061	eV/atom
total magnetization	4.5	μB per formula unit
N(E_F)	4.3	states/eV/f.u.


DFT (PBE) results for a relaxed structure of PdRhW2Se.

Unit cell a=4.6775 b=4.6775 c=4.9094 alpha=90.00 beta=90.00 gamma=90.00
Last column: nearest neighbours and their distance in Å.
Atoms (fractional coordinates):
Pd (0.0000, 0.0000, 0.0000)  2 Rh 2.45
Rh (0.0000, 0.0000, 0.5000)  4 W 2.34, 2 Pd 2.45
W (0.0000, 0.5000, 0.5000)  2 Rh 2.34
W (0.5000, 0.0000, 0.5000)  2 Rh 2.34
Se (0.5000, 0.5000, 0.0000)  4 Pd 3.31, 8 W 3.39

Calculated values
energy relative to the elements, uncorrected	1746	meV per atom
SG	No. 123
total magnetization	0.5	μB per formula unit
N(E_F)	6.4	states/eV/f.u.


DFT (PBE) results for a relaxed structure of LiIn2Os.

Unit cell a=3.0407 b=3.0407 c=28.1722 alpha=90.00 beta=90.00 gamma=120.00
Last column: nearest neighbours and their distance in Å.
Atoms (fractional coordinates):
Li (0.0000, 0.0000, 0.0000)  3 Os 2.69, 3 In 3.00
Li (0.3333, 0.6667, 0.6667)  3 Os 2.69, 3 In 3.00
Li (0.6667, 0.3333, 0.3333)  3 Os 2.69, 3 In 3.00
In (0.0000, 0.0000, 0.2468)  3 Li 3.00, 9 In 3.04-3.22
In (0.0000, 0.0000, 0.4844)  3 Os 2.83, 6 In 3.04
In (0.3333, 0.6667, 0.1510)  3 Os 2.83, 6 In 3.04
In (0.3333, 0.6667, 0.9134)  3 Li 3.00, 9 In 3.04-3.22
In (0.6667, 0.3333, 0.5801)  3 Li 3.00, 9 In 3.04-3.22
In (0.6667, 0.3333, 0.8177)  3 Os 2.83, 6 In 3.04
Os (0.0000, 0.0000, 0.7391)  3 Li 2.69, 3 In 2.83
Os (0.3333, 0.6667, 0.4057)  3 Li 2.69, 3 In 2.83
Os (0.6667, 0.3333, 0.0724)  3 Li 2.69, 3 In 2.83

Calculated values
SG	No. 160
calculated formation energy	0.3992	eV/atom
total magnetization	0.0	μB per formula unit
N(E_F)	2.2	states/eV/f.u.


DFT (PBE) results for a relaxed structure of Ac4Pm3Dy.

Unit cell a=5.4190 b=10.8327 c=10.6608 alpha=90.00 beta=90.00 gamma=90.00
Last column: nearest neighbours and their distance in Å.
Atoms (fractional coordinates):
Ac (0.2500, 0.9996, 0.1379)  1 Dy 3.79, 3 Pm 3.80-3.81, 8 Ac 3.83-4.00
Ac (0.2500, 0.2500, 0.8625)  2 Dy 3.80, 2 Pm 3.81, 8 Ac 3.83-4.00
Ac (0.2500, 0.5004, 0.1379)  1 Dy 3.79, 3 Pm 3.80-3.81, 8 Ac 3.83-4.00
Ac (0.2500, 0.7500, 0.8634)  4 Pm 3.81-3.82, 8 Ac 3.83-3.99
Ac (0.7500, 0.0004, 0.8621)  1 Dy 3.79, 3 Pm 3.80-3.81, 8 Ac 3.83-4.00
Ac (0.7500, 0.2500, 0.1366)  4 Pm 3.81-3.82, 8 Ac 3.83-3.99
Ac (0.7500, 0.4996, 0.8621)  1 Dy 3.79, 3 Pm 3.80-3.81, 8 Ac 3.83-4.00
Ac (0.7500, 0.7500, 0.1375)  2 Dy 3.80, 2 Pm 3.81, 8 Ac 3.83-4.00
Pm (0.2500, 0.9997, 0.6119)  5 Pm 3.61-3.83, 3 Dy 3.61-3.83, 4 Ac 3.80-3.81
Pm (0.2500, 0.2500, 0.3886)  6 Pm 3.61-3.83, 2 Dy 3.61, 4 Ac 3.81-3.82
Pm (0.2500, 0.5003, 0.6119)  5 Pm 3.61-3.83, 3 Dy 3.61-3.83, 4 Ac 3.80-3.81
Pm (0.7500, 0.0003, 0.3881)  5 Pm 3.61-3.83, 3 Dy 3.61-3.83, 4 Ac 3.80-3.81
Pm (0.7500, 0.4997, 0.3881)  5 Pm 3.61-3.83, 3 Dy 3.61-3.83, 4 Ac 3.80-3.81
Pm (0.7500, 0.7500, 0.6114)  6 Pm 3.61-3.83, 2 Dy 3.61, 4 Ac 3.81-3.82
Dy (0.2500, 0.7500, 0.3873)  8 Pm 3.61-3.83, 4 Ac 3.79-3.80
Dy (0.7500, 0.2500, 0.6127)  8 Pm 3.61-3.83, 4 Ac 3.79-3.80

Calculated values
SG	No. 59
calculated formation energy	0.0421	eV/atom
total magnetization	0.0	μB per formula unit
N(E_F)	14.1	states/eV/f.u.


DFT (PBE) results for a relaxed structure of Zr3Ga3Rh.

Unit cell a=5.4897 b=5.4897 c=13.5938 alpha=90.00 beta=90.00 gamma=140.95
Last column: nearest neighbours and their distance in Å.
Atoms (fractional coordinates):
Zr (0.0051, 0.9949, 0.7500)  7 Ga 2.74-3.05
Zr (0.3102, 0.6898, 0.5950)  6 Ga 2.88-2.92, 2 Rh 2.98
Zr (0.3102, 0.6898, 0.9050)  6 Ga 2.88-2.92, 2 Rh 2.98
Zr (0.6898, 0.3102, 0.0950)  6 Ga 2.88-2.92, 2 Rh 2.98
Zr (0.6898, 0.3102, 0.4049)  6 Ga 2.88-2.92, 2 Rh 2.98
Zr (0.9949, 0.0051, 0.2500)  7 Ga 2.74-3.05
Ga (0.2596, 0.7404, 0.2500)  2 Ga 2.51, 1 Zr 2.74
Ga (0.4074, 0.5926, 0.1035)  2 Rh 2.50, 1 Ga 2.51
Ga (0.4074, 0.5926, 0.3965)  2 Rh 2.50, 1 Ga 2.51
Ga (0.5926, 0.4074, 0.6035)  2 Rh 2.50, 1 Ga 2.51
Ga (0.5926, 0.4074, 0.8965)  2 Rh 2.50, 1 Ga 2.51
Ga (0.7404, 0.2596, 0.7500)  2 Ga 2.51, 1 Zr 2.74
Rh (0.0000, 0.0000, 0.0000)  4 Ga 2.50
Rh (0.0000, 0.0000, 0.5000)  4 Ga 2.50

Calculated values
SG	No. 63
calculated formation energy	-0.6577	eV/atom
total magnetization	0.0	μB per formula unit
N(E_F)	5.0	states/eV/f.u.


DFT (PBE) results for a relaxed structure of TiTlPd2.

Unit cell a=3.2850 b=3.2850 c=6.6218 alpha=90.00 beta=90.00 gamma=90.00
Last column: nearest neighbours and their distance in Å.
Atoms (fractional coordinates):
Ti (0.0000, 0.0000, 0.0000)  8 Pd 2.70
Tl (0.0000, 0.0000, 0.5000)  8 Pd 3.02, 4 Tl 3.28, 2 Ti 3.31
Pd (0.5000, 0.5000, 0.2083)  4 Ti 2.70, 1 Pd 2.76, 4 Tl 3.02
Pd (0.5000, 0.5000, 0.7917)  4 Ti 2.70, 1 Pd 2.76, 4 Tl 3.02

Calculated values
SG	No. 123
calculated formation energy	-0.3816	eV/atom
total magnetization	0.0	μB per formula unit
N(E_F)	2.5	states/eV/f.u.